1.
Compound: HoTh2Ti
Source: Alexandria via LeMat-Bulk
Functional: PBE
Structure: optimized geometry

Calculated values
* total energy: -0.2350 hartree per atom
* DOS at the Fermi energy: 6.26 states/eV/f.u.

Lattice parameters (Å, degrees): 3.356 3.356 11.936 81.92 81.92 60.00
Element x y z (fractional)
Ho: 0.500 0.500 0.500
Th: 0.081 0.081 0.757
Th: 0.919 0.919 0.243
Ti: 0.000 0.000 0.000

2.
Compound: HoTh2Ti
Source: Alexandria via LeMat-Bulk
Functional: PBE
Structure: optimized geometry

Calculated values
* total energy: -0.2461 hartree per atom
* DOS at the Fermi energy: 6.54 states/eV/f.u.

Lattice parameters (Å, degrees): 3.592 3.592 8.706 90.00 90.00 90.00
Element x y z (fractional)
Ho: 0.500 0.500 0.500
Th: 0.000 0.000 0.780
Th: 0.000 0.000 0.220
Ti: 0.500 0.500 0.000

3.
Compound: Ho3ThTl3
Source: Alexandria via LeMat-Bulk
Functional: PBE
Structure: optimized geometry

Calculated values
* total energy: -0.1503 hartree per atom
* DOS at the Fermi energy: 5.86 states/eV/f.u.

Lattice parameters (Å, degrees): 5.643 9.152 9.152 120.00 90.00 90.00
Element x y z (fractional)
Ho: 0.750 0.641 0.546
Ho: 0.750 0.454 0.095
Ho: 0.750 0.905 0.359
Ho: 0.250 0.359 0.454
Ho: 0.250 0.546 0.905
Ho: 0.250 0.095 0.641
Th: 0.250 0.667 0.333
Th: 0.750 0.333 0.667
Tl: 0.250 0.803 0.761
Tl: 0.250 0.239 0.042
Tl: 0.250 0.958 0.197
Tl: 0.750 0.197 0.239
Tl: 0.750 0.761 0.958
Tl: 0.750 0.042 0.803

4.
Compound: HoTh2Tl
Source: Alexandria via LeMat-Bulk
Functional: PBE
Structure: optimized geometry

Calculated values
* total energy: -0.2037 hartree per atom
* DOS at the Fermi energy: 4.56 states/eV/f.u.

Lattice parameters (Å, degrees): 5.112 4.816 4.816 90.00 90.00 90.00
Element x y z (fractional)
Tl: 0.500 0.000 0.000
Ho: 0.500 0.500 0.500
Th: 0.000 0.000 0.500
Th: 0.000 0.500 0.000

- Among the records above, which one has the highest total energy?
  Ho3ThTl3